No. 1
! LiLa2Zr (PBE-GGA, optimized geometry); values from VASP
&SYSTEM
  ibrav = 0, nat = 4, ntyp = 3
/
ATOMIC_SPECIES
Li 6.94 Li.upf
La 138.91 La.upf
Zr 91.22 Zr.upf
ATOMIC_POSITIONS crystal
Li 0.000 0.000 0.000
La 0.480 0.480 0.000
La 0.751 0.251 0.500
Zr 0.215 0.715 0.500
CELL_PARAMETERS angstrom
-1.791 2.791 5.620
1.791 -2.791 5.620
1.791 2.791 -5.620
! Relative energy among the computed polymorphs   0.241 eV per formula unit
! Total magnetization   0.00 Bohr magnetons per cell
! SG   No. 44



No. 2
! LiLa2Zr (PBE-GGA, optimized geometry); values from VASP
&SYSTEM
  ibrav = 0, nat = 4, ntyp = 3
/
ATOMIC_SPECIES
Li 6.94 Li.upf
La 138.91 La.upf
Zr 91.22 Zr.upf
ATOMIC_POSITIONS crystal
Li 0.000 0.000 0.000
La 0.500 0.500 0.257
La 0.500 0.500 0.743
Zr 0.000 0.000 0.500
CELL_PARAMETERS angstrom
3.446 0.000 0.000
0.000 3.446 0.000
0.000 0.000 9.870
! Relative energy among the computed polymorphs   0.000 eV per formula unit
! Total magnetization   0.00 Bohr magnetons per cell
! SG   No. 123



No. 3
! Li2La2Zr (PBE-GGA, optimized geometry); values from VASP
&SYSTEM
  ibrav = 0, nat = 10, ntyp = 3
/
ATOMIC_SPECIES
Li 6.94 Li.upf
La 138.91 La.upf
Zr 91.22 Zr.upf
ATOMIC_POSITIONS crystal
Li 0.102 0.398 0.000
Li 0.398 0.898 0.000
Li 0.602 0.102 0.000
Li 0.898 0.602 0.000
La 0.201 0.701 0.500
La 0.299 0.201 0.500
La 0.701 0.799 0.500
La 0.799 0.299 0.500
Zr 0.000 0.000 0.000
Zr 0.500 0.500 0.000
CELL_PARAMETERS angstrom
8.738 0.000 0.000
0.000 8.738 0.000
0.000 0.000 3.457
! Total magnetization   0.00 Bohr magnetons per cell
! SG   No. 127
! DFT total energy   -4.1525 eV per atom



No. 4
! LiLa2Zr (PBE-GGA, optimized geometry); values from VASP
&SYSTEM
  ibrav = 0, nat = 4, ntyp = 3
/
ATOMIC_SPECIES
Li 6.94 Li.upf
La 138.91 La.upf
Zr 91.22 Zr.upf
ATOMIC_POSITIONS crystal
Li 0.000 0.000 0.000
La 0.239 0.739 0.500
La 0.761 0.261 0.500
Zr 0.500 0.500 0.000
CELL_PARAMETERS angstrom
-1.794 2.876 5.427
1.794 -2.876 5.427
1.794 2.876 -5.427
! Relative energy among the computed polymorphs   0.737 eV per formula unit
! Total magnetization   0.00 Bohr magnetons per cell
! SG   No. 71



No. 5
! LiLaZr (PBE-GGA, optimized geometry); values from VASP
&SYSTEM
  ibrav = 0, nat = 3, ntyp = 3
/
ATOMIC_SPECIES
Li 6.94 Li.upf
La 138.91 La.upf
Zr 91.22 Zr.upf
ATOMIC_POSITIONS crystal
Li 0.000 0.000 0.000
La 0.750 0.750 0.750
Zr 0.500 0.500 0.500
CELL_PARAMETERS angstrom
0.000 3.481 3.481
3.481 0.000 3.481
3.481 3.481 0.000
! Relative energy among the computed polymorphs   2.459 eV per formula unit
! Total magnetization   0.00 Bohr magnetons per cell
! SG   No. 216



No. 6
! LiLaZr2 (PBE-GGA, optimized geometry); values from VASP
&SYSTEM
  ibrav = 0, nat = 4, ntyp = 3
/
ATOMIC_SPECIES
Li 6.94 Li.upf
La 138.91 La.upf
Zr 91.22 Zr.upf
ATOMIC_POSITIONS crystal
Li 0.000 0.000 0.000
La 0.000 0.000 0.500
Zr 0.500 0.500 0.247
Zr 0.500 0.500 0.753
CELL_PARAMETERS angstrom
3.215 0.000 0.000
0.000 4.920 0.000
0.000 0.000 6.229
! Total magnetization   0.00 Bohr magnetons per cell
! SG   No. 47
! DFT total energy   -5.6432 eV per atom



No. 7
! LiLaZr2 (PBE-GGA, optimized geometry); values from VASP
&SYSTEM
  ibrav = 0, nat = 4, ntyp = 3
/
ATOMIC_SPECIES
Li 6.94 Li.upf
La 138.91 La.upf
Zr 91.22 Zr.upf
ATOMIC_POSITIONS crystal
Li 0.000 0.000 0.000
La 0.753 0.253 0.500
Zr 0.228 0.728 0.500
Zr 0.482 0.482 0.000
CELL_PARAMETERS angstrom
-1.731 2.689 5.222
1.731 -2.689 5.222
1.731 2.689 -5.222
! Total magnetization   0.00 Bohr magnetons per cell
! SG   No. 44
! DFT total energy   -5.6902 eV per atom



No. 8
! LiLa2Zr (PBE-GGA, optimized geometry); values from VASP
&SYSTEM
  ibrav = 0, nat = 4, ntyp = 3
/
ATOMIC_SPECIES
Li 6.94 Li.upf
La 138.91 La.upf
Zr 91.22 Zr.upf
ATOMIC_POSITIONS crystal
Li 0.000 0.000 0.000
La 0.000 0.500 0.500
La 0.500 0.000 0.500
Zr 0.500 0.500 0.000
CELL_PARAMETERS angstrom
5.735 0.000 0.000
0.000 5.735 0.000
0.000 0.000 3.517
! Relative energy among the computed polymorphs   0.213 eV per formula unit
! Total magnetization   0.00 Bohr magnetons per cell
! SG   No. 123



No. 9
! LiLaZr2 (PBE-GGA, optimized geometry); values from VASP
&SYSTEM
  ibrav = 0, nat = 4, ntyp = 3
/
ATOMIC_SPECIES
Li 6.94 Li.upf
La 138.91 La.upf
Zr 91.22 Zr.upf
ATOMIC_POSITIONS crystal
Li 0.000 0.000 0.000
La 0.500 0.500 0.000
Zr 0.000 0.500 0.500
Zr 0.500 0.000 0.500
CELL_PARAMETERS angstrom
3.115 -5.679 0.000
3.115 5.679 0.000
-1.498 0.000 2.789
! Total magnetization   0.00 Bohr magnetons per cell
! SG   No. 12
! DFT total energy   -5.7040 eV per atom



No. 10
! LiLaZr (PBE-GGA, optimized geometry); values from VASP
&SYSTEM
  ibrav = 0, nat = 3, ntyp = 3
/
ATOMIC_SPECIES
Li 6.94 Li.upf
La 138.91 La.upf
Zr 91.22 Zr.upf
ATOMIC_POSITIONS crystal
Li 0.000 0.000 0.000
La 0.317 0.317 0.000
Zr 0.647 0.647 0.000
CELL_PARAMETERS angstrom
-1.693 1.693 6.861
1.693 -1.693 6.861
1.693 1.693 -6.861
! Relative energy among the computed polymorphs   0.035 eV per formula unit
! Total magnetization   0.00 Bohr magnetons per cell
! SG   No. 107



No. 11
! LiLa2Zr (PBE-GGA, optimized geometry); values from VASP
&SYSTEM
  ibrav = 0, nat = 8, ntyp = 3
/
ATOMIC_SPECIES
Li 6.94 Li.upf
La 138.91 La.upf
Zr 91.22 Zr.upf
ATOMIC_POSITIONS crystal
Li 0.000 0.000 0.000
Li 0.750 0.250 0.500
La 0.103 0.625 0.978
La 0.375 0.353 0.478
La 0.647 0.125 0.022
La 0.875 0.897 0.522
Zr 0.250 0.750 0.500
Zr 0.500 0.500 0.000
CELL_PARAMETERS angstrom
-4.189 4.189 3.242
4.189 -4.189 3.242
4.189 4.189 -3.242
! Relative energy among the computed polymorphs   1.374 eV per formula unit
! Total magnetization   0.00 Bohr magnetons per cell
! SG   No. 122



No. 12
! LiLa2Zr (PBE-GGA, optimized geometry); values from VASP
&SYSTEM
  ibrav = 0, nat = 4, ntyp = 3
/
ATOMIC_SPECIES
Li 6.94 Li.upf
La 138.91 La.upf
Zr 91.22 Zr.upf
ATOMIC_POSITIONS crystal
Li 0.000 0.000 0.000
La 0.405 0.500 0.808
La 0.720 0.000 0.441
Zr 0.131 0.500 0.263
CELL_PARAMETERS angstrom
3.399 0.000 0.000
0.000 5.366 0.000
-1.689 0.000 6.311
! Relative energy among the computed polymorphs   0.292 eV per formula unit
! Total magnetization   0.00 Bohr magnetons per cell
! SG   No. 6